1.
First-principles (PBE) data for a geometry-optimized Ba2AgPtI structure, as listed in Alexandria via LeMat-Bulk. Values from VASP.

symmetry	P4/mmm
DFT total energy	-3.59	eV/atom
calculated density	6.01	g/cm3
Fermi-level density of states	2.8	states/eV per cell
ΔE_f (raw)	-70.2	kJ per mole of atoms

```
&SYSTEM
  ibrav = 0, nat = 5, ntyp = 4
/
ATOMIC_SPECIES
Ba 137.33 Ba.upf
Ag 107.87 Ag.upf
Pt 195.08 Pt.upf
I 126.90 I.upf
CELL_PARAMETERS angstrom
6.101 0.000 0.000
0.000 6.101 0.000
0.000 0.000 5.226
ATOMIC_POSITIONS crystal
Ba 0.000 0.500 0.000
Ba 0.500 0.000 0.000
Ag 0.000 0.000 0.500
Pt 0.000 0.000 0.000
I 0.500 0.500 0.500
```

***

2.
First-principles (PBE) data for a geometry-optimized KNaZnGa structure, as listed in Alexandria via LeMat-Bulk. Values from VASP.

symmetry	Cm
DFT total energy	-1.70	eV/atom
calculated density	2.63	g/cm3
Fermi-level density of states	2.2	states/eV per cell
ΔH_f (0 K)	-0.0164	eV/atom

```
&SYSTEM
  ibrav = 0, nat = 4, ntyp = 4
/
ATOMIC_SPECIES
K 39.10 K.upf
Na 22.99 Na.upf
Zn 65.41 Zn.upf
Ga 69.72 Ga.upf
CELL_PARAMETERS angstrom
3.953 -2.312 0.000
3.953 2.312 0.000
-2.697 0.000 6.813
ATOMIC_POSITIONS crystal
K 0.000 0.000 0.000
Na 0.195 0.195 0.575
Zn 0.451 0.451 0.350
Ga 0.785 0.785 0.349
```

***

3.
First-principles (PBE) data for a geometry-optimized Pm2Nd6Y3 structure, as listed in Alexandria via LeMat-Bulk. Values from VASP.

symmetry	C2/m
DFT total energy	-5.06	eV/atom
calculated density	5.95	g/cm3
Fermi-level density of states	15.9	states/eV per cell
offset from the most stable computed form	0.000	eV per atom
ΔH_f (0 K)	0.1654	eV/atom

```
&SYSTEM
  ibrav = 0, nat = 11, ntyp = 3
/
ATOMIC_SPECIES
Pm 145.00 Pm.upf
Nd 144.24 Nd.upf
Y 88.91 Y.upf
CELL_PARAMETERS angstrom
3.136 -5.439 0.000
3.136 5.439 0.000
-2.113 0.000 11.631
ATOMIC_POSITIONS crystal
Pm 0.167 0.833 0.000
Pm 0.833 0.167 0.000
Nd 0.085 0.417 0.750
Nd 0.251 0.251 0.249
Nd 0.417 0.085 0.750
Nd 0.583 0.915 0.250
Nd 0.749 0.749 0.751
Nd 0.915 0.583 0.250
Y 0.000 0.000 0.500
Y 0.334 0.666 0.500
Y 0.666 0.334 0.500
```

***

4.
First-principles (PBE) data for a geometry-optimized IrOs2Pb structure, as listed in Alexandria via LeMat-Bulk. Values from VASP.

symmetry	I4/mmm
DFT total energy	-7.95	eV/atom
calculated density	19.84	g/cm3
Fermi-level density of states	3.0	states/eV per cell
ΔH_f (0 K)	0.8081	eV/atom

```
&SYSTEM
  ibrav = 0, nat = 4, ntyp = 3
/
ATOMIC_SPECIES
Ir 192.22 Ir.upf
Os 190.23 Os.upf
Pb 207.20 Pb.upf
CELL_PARAMETERS angstrom
-2.038 2.038 3.929
2.038 -2.038 3.929
2.038 2.038 -3.929
ATOMIC_POSITIONS crystal
Ir 0.000 0.000 0.000
Os 0.250 0.750 0.500
Os 0.750 0.250 0.500
Pb 0.500 0.500 0.000
```

***

5.
First-principles (PBE) data for a geometry-optimized CdInI2Br structure, as listed in Alexandria via LeMat-Bulk. Values from VASP.

symmetry	P4/mmm
DFT total energy	-2.17	eV/atom
calculated density	4.81	g/cm3
Fermi-level density of states	1.1	states/eV per cell
ΔE_f (raw)	-47.1	kJ per mole of atoms

```
&SYSTEM
  ibrav = 0, nat = 5, ntyp = 4
/
ATOMIC_SPECIES
Cd 112.41 Cd.upf
In 114.82 In.upf
I 126.90 I.upf
Br 79.90 Br.upf
CELL_PARAMETERS angstrom
5.951 0.000 0.000
0.000 5.951 0.000
0.000 0.000 5.469
ATOMIC_POSITIONS crystal
Cd 0.000 0.000 0.000
In 0.500 0.500 0.500
I 0.000 0.500 0.000
I 0.500 0.000 0.000
Br 0.000 0.000 0.500
```

***

6.
First-principles (PBE) data for a geometry-optimized InAgW3 structure, as listed in Alexandria via LeMat-Bulk. Values from VASP.

symmetry	Pm-3m
DFT total energy	-6.24	eV/atom
calculated density	11.55	g/cm3
Fermi-level density of states	7.8	states/eV per cell
offset from the most stable computed form	0.000	eV per atom
ΔH_f (0 K)	2.6481	eV/atom

```
&SYSTEM
  ibrav = 0, nat = 5, ntyp = 3
/
ATOMIC_SPECIES
In 114.82 In.upf
Ag 107.87 Ag.upf
W 183.84 W.upf
CELL_PARAMETERS angstrom
4.810 0.000 0.000
0.000 4.810 0.000
0.000 0.000 4.810
ATOMIC_POSITIONS crystal
In 0.000 0.000 0.000
Ag 0.500 0.500 0.500
W 0.000 0.500 0.500
W 0.500 0.000 0.500
W 0.500 0.500 0.000
```

***

7.
First-principles (PBE) data for a geometry-optimized Y2HPtAu structure, as listed in Alexandria via LeMat-Bulk. Values from VASP.

symmetry	P4/mmm
DFT total energy	-4.67	eV/atom
calculated density	6.44	g/cm3
Fermi-level density of states	3.0	states/eV per cell
offset from the most stable computed form	1.296	eV per atom

```
&SYSTEM
  ibrav = 0, nat = 5, ntyp = 4
/
ATOMIC_SPECIES
Y 88.91 Y.upf
H 1.01 H.upf
Pt 195.08 Pt.upf
Au 196.97 Au.upf
CELL_PARAMETERS angstrom
5.425 0.000 0.000
0.000 5.425 0.000
0.000 0.000 5.005
ATOMIC_POSITIONS crystal
Y 0.000 0.500 0.000
Y 0.500 0.000 0.000
H 0.000 0.000 0.500
Pt 0.500 0.500 0.500
Au 0.500 0.500 0.000
```

***

8.
First-principles (PBE) data for a geometry-optimized BaBi2Ir structure, as listed in Alexandria via LeMat-Bulk. Values from VASP.

symmetry	Fm-3m
DFT total energy	-4.48	eV/atom
calculated density	11.22	g/cm3
Fermi-level density of states	2.6	states/eV per cell
ΔH_f (0 K)	0.1588	eV/atom

```
&SYSTEM
  ibrav = 0, nat = 4, ntyp = 3
/
ATOMIC_SPECIES
Ba 137.33 Ba.upf
Bi 208.98 Bi.upf
Ir 192.22 Ir.upf
CELL_PARAMETERS angstrom
0.000 3.810 3.810
3.810 0.000 3.810
3.810 3.810 0.000
ATOMIC_POSITIONS crystal
Ba 0.000 0.000 0.000
Bi 0.250 0.250 0.250
Bi 0.750 0.750 0.750
Ir 0.500 0.500 0.500
```